! NpPdPt, relaxed, DFT GGA-PBE; values from VASP
&SYSTEM
  ibrav = 0, nat = 3, ntyp = 3
/
ATOMIC_SPECIES
Np 237.00 Np.upf
Pd 106.42 Pd.upf
Pt 195.08 Pt.upf
ATOMIC_POSITIONS angstrom
Np 0.000 0.000 0.000
Pd 3.236 3.236 3.236
Pt 1.618 1.618 1.618
CELL_PARAMETERS angstrom
0.000 3.236 3.236
3.236 0.000 3.236
3.236 3.236 0.000
! E = -8.225 eV per atom
! ΔH_f (0 K) = -0.67 eV per formula unit